No. 1
Material: GaCoHgPb2
Method: DFT, GGA-PBE
State: optimized geometry

Output
- DFT total energy: -3.4711 eV per atom

POSCAR file:
```
GaCoHgPb2
1.0
5.149 0.000 0.000
0.000 5.149 0.000
0.000 0.000 4.660
Pb Ga Co Hg
2 1 1 1
Direct
0.500 0.000 0.000 Pb
0.000 0.500 0.000 Pb
0.000 0.000 0.500 Ga
0.000 0.000 0.000 Co
0.500 0.500 0.500 Hg
```

No. 2
Material: Ga2CoHgPb
Method: DFT, GGA-PBE
State: optimized geometry

Output
- DFT total energy: -3.4274 eV per atom

POSCAR file:
```
Ga2CoHgPb
1.0
-2.167 3.505 2.156
-1.684 -2.978 3.150
4.169 0.763 2.950
Hg Ga Pb Co
1 2 1 1
Direct
0.500 0.500 0.500 Hg
0.000 0.500 0.000 Ga
0.500 0.000 0.000 Ga
0.000 0.000 0.500 Pb
0.000 0.000 0.000 Co
```

No. 3
Material: Pr3Ga3CoHg2
Method: DFT, GGA-PBE
State: optimized geometry

Output
- DFT total energy: -3.9036 eV per atom

POSCAR file:
```
Pr3Ga3CoHg2
1.0
4.294 0.000 0.000
0.000 7.529 0.000
0.000 -3.765 6.521
Hg Ga Co Pr
2 3 1 3
Direct
0.500 0.333 0.667 Hg
0.500 0.667 0.333 Hg
0.500 0.000 0.789 Ga
0.500 0.789 0.000 Ga
0.500 0.211 0.211 Ga
0.000 0.000 0.000 Co
0.000 0.000 0.374 Pr
0.000 0.626 0.626 Pr
0.000 0.374 0.000 Pr
```

No. 4
Material: RbGa2CoHg
Method: DFT, GGA-PBE
State: optimized geometry

Output
- DFT total energy: -2.9854 eV per atom

POSCAR file:
```
RbGa2CoHg
1.0
4.713 0.000 0.000
0.000 4.713 0.000
0.000 0.000 5.257
Rb Ga Co Hg
1 2 1 1
Direct
0.500 0.500 0.500 Rb
0.500 0.000 0.000 Ga
0.000 0.500 0.000 Ga
0.000 0.000 0.000 Co
0.000 0.000 0.500 Hg
```

No. 5
Material: Ga2CoHgSb
Method: DFT, GGA-PBE
State: optimized geometry

Output
- DFT total energy: -3.5193 eV per atom
- E_form (uncorrected): -2 meV/atom

POSCAR file:
```
Ga2CoHgSb
1.0
-0.481 -4.025 -2.249
3.486 -1.797 2.471
-3.257 -1.549 3.468
Ga Sb Co Hg
2 1 1 1
Direct
0.000 0.500 0.000 Ga
0.500 0.000 0.000 Ga
0.000 0.000 0.500 Sb
0.000 0.000 0.000 Co
0.500 0.500 0.500 Hg
```

No. 6
Material: ScGa2CoHg
Method: DFT, GGA-PBE
State: optimized geometry

Output
- DFT total energy: -4.1793 eV per atom

POSCAR file:
```
ScGa2CoHg
1.0
4.597 0.000 0.000
0.000 4.597 0.000
0.000 0.000 4.703
Hg Ga Sc Co
1 2 1 1
Direct
0.500 0.500 0.500 Hg
0.500 0.000 0.000 Ga
0.000 0.500 0.000 Ga
0.000 0.000 0.500 Sc
0.000 0.000 0.000 Co
```

No. 7
Material: GaCoSn2Hg
Method: DFT, GGA-PBE
State: optimized geometry

Output
- DFT total energy: -3.6865 eV per atom

POSCAR file:
```
GaCoSn2Hg
1.0
-0.576 2.203 4.418
-4.519 -2.024 0.420
1.854 -3.706 2.089
Sn Co Hg Ga
2 1 1 1
Direct
0.500 0.000 0.000 Sn
0.000 0.500 0.000 Sn
0.000 0.000 0.000 Co
0.500 0.500 0.500 Hg
0.000 0.000 0.500 Ga
```

No. 8
Material: SrGa2CoHg
Method: DFT, GGA-PBE
State: optimized geometry

Output
- DFT total energy: -3.3097 eV per atom

POSCAR file:
```
SrGa2CoHg
1.0
-2.376 3.974 0.317
-1.968 -0.849 -4.117
-3.822 -2.472 2.337
Ga Co Hg Sr
2 1 1 1
Direct
0.000 0.500 0.000 Ga
0.500 0.000 0.000 Ga
0.000 0.000 0.000 Co
0.000 0.000 0.500 Hg
0.500 0.500 0.500 Sr
```

No. 9
Material: Sr2GaCoHg
Method: DFT, GGA-PBE
State: optimized geometry

Output
- DFT total energy: -2.2953 eV per atom

POSCAR file:
```
Sr2GaCoHg
1.0
-1.385 5.683 1.643
-2.963 -1.744 3.536
4.656 0.006 3.904
Sr Hg Co Ga
2 1 1 1
Direct
0.000 0.000 0.500 Sr
0.500 0.000 0.000 Sr
0.000 0.500 0.000 Hg
0.500 0.500 0.500 Co
0.000 0.000 0.000 Ga
```

No. 10
Material: Th2GaCoHg
Method: DFT, GGA-PBE
State: optimized geometry

Output
- DFT total energy: -5.3421 eV per atom

POSCAR file:
```
Th2GaCoHg
1.0
-2.366 -2.993 0.502
1.584 -2.507 -7.483
5.523 -3.442 5.511
Co Th Hg Ga
2 4 2 2
Direct
0.250 0.849 0.798 Co
0.750 0.151 0.202 Co
0.250 0.223 0.016 Th
0.750 0.872 0.603 Th
0.750 0.777 0.984 Th
0.250 0.128 0.397 Th
0.250 0.676 0.256 Hg
0.750 0.324 0.744 Hg
0.750 0.461 0.373 Ga
0.250 0.539 0.627 Ga
```

No. 11
Material: TlGa2CoHg
Method: DFT, GGA-PBE
State: optimized geometry

Output
- DFT total energy: -3.1540 eV per atom
- Energy above the most stable polymorph in this dataset: 0.0176 eV per atom

POSCAR file:
```
TlGa2CoHg
1.0
4.623 0.000 0.000
0.000 4.623 0.000
0.000 0.000 5.178
Ga Hg Co Tl
2 1 1 1
Direct
0.000 0.500 0.000 Ga
0.500 0.000 0.000 Ga
0.000 0.000 0.500 Hg
0.000 0.000 0.000 Co
0.500 0.500 0.500 Tl
```

No. 12
Material: TlGa2CoHg
Method: DFT, GGA-PBE
State: optimized geometry

Output
- DFT total energy: -3.1716 eV per atom
- Energy above the most stable polymorph in this dataset: 0.0000 eV per atom

POSCAR file:
```
TlGa2CoHg
1.0
-4.517 0.773 0.828
-0.073 -3.597 2.957
1.245 3.144 3.855
Hg Co Ga Tl
1 1 2 1
Direct
0.500 0.500 0.500 Hg
0.000 0.000 0.000 Co
0.500 0.000 0.000 Ga
0.000 0.500 0.000 Ga
0.000 0.000 0.500 Tl
```